Ce8CoPb4 | PBE-GGA | relaxed

Unit cell a=4.7124 b=4.9285 c=16.1156 alpha=90.00 beta=90.00 gamma=90.00
Positions (direct):
Ce  0.0000  0.0000  0.0000
Ce  0.0000  0.0000  0.3069
Ce  0.0000  0.5000  0.1332
Ce  0.0000  0.5000  0.8128
Ce  0.5000  0.0000  0.4861
Ce  0.5000  0.0000  0.8006
Ce  0.5000  0.5000  0.3139
Ce  0.5000  0.5000  0.6229
Co  0.5000  0.5000  0.8043
Pb  0.0000  0.0000  0.6528
Pb  0.0000  0.5000  0.4594
Pb  0.5000  0.0000  0.1616
Pb  0.5000  0.5000  0.9730

- symmetry = Pmm2
- calculated formation energy (meV/atom) = -251